Bi2Pt2O5 after structural relaxation, computed with PBE.

abc: 3.639 3.639 9.950
angles: 90.00 90.00 90.00
Fractional positions:
Bi: 0.000 0.000 0.239
Bi: 0.000 0.000 0.761
Pt: 0.500 0.500 0.000
Pt: 0.500 0.500 0.500
O: 0.000 0.000 0.000
O: 0.000 0.500 0.379
O: 0.000 0.500 0.621
O: 0.500 0.000 0.379
O: 0.500 0.000 0.621

Computed properties:
**Symmetry**: P4/mmm (123)
**Calculated total energy**: -5.21 eV/atom
**Spin magnetization**: 0.00 μB/f.u.